A relaxed Pm7I12O crystal, computed with PBE.

```
Pm7I12O
1.0
7.862 4.539 3.465
-7.862 4.539 3.465
0.000 -9.079 3.465
Pm I O
7 12 1
Direct
0.000 0.000 0.000
0.212 0.401 0.467
0.401 0.467 0.212
0.467 0.212 0.401
0.533 0.788 0.599
0.599 0.533 0.788
0.788 0.599 0.533
0.030 0.353 0.113
0.113 0.030 0.353
0.188 0.727 0.578
0.273 0.422 0.812
0.353 0.113 0.030
0.422 0.812 0.273
0.578 0.188 0.727
0.647 0.887 0.970
0.727 0.578 0.188
0.812 0.273 0.422
0.887 0.970 0.647
0.970 0.647 0.887
0.500 0.500 0.500
```

Summary:
Total magnetic moment ... 0.0 μB per formula unit
SG ... R-3
Final energy ... -85.18 eV/cell
E_form (uncorrected) ... -1.418 eV/atom



A relaxed Pm2I2O7 crystal, computed with PBE.

```
Pm2I2O7
1.0
3.800 -4.606 0.000
3.800 4.606 0.000
-1.057 0.000 5.941
Pm I O
2 2 7
Direct
0.191 0.809 0.000
0.809 0.191 0.000
0.234 0.234 0.587
0.766 0.766 0.413
0.092 0.422 0.798
0.110 0.110 0.215
0.422 0.092 0.798
0.500 0.500 0.500
0.578 0.908 0.202
0.890 0.890 0.785
0.908 0.578 0.202
```

Summary:
Total magnetic moment ... 0.0 μB per formula unit
SG ... C2/m
Final energy ... -63.58 eV/cell
E_form (uncorrected) ... -1.479 eV/atom



A relaxed Pm2IO5 crystal, computed with PBE.

```
Pm2IO5
1.0
3.764 0.000 0.000
-0.518 6.181 0.000
-0.712 -2.882 5.842
Pm I O
2 1 5
Direct
0.000 0.000 0.000
0.392 0.412 0.783
0.063 0.634 0.408
0.212 0.323 0.374
0.236 0.969 0.643
0.492 0.821 0.044
0.892 0.607 0.670
0.919 0.355 0.967
```

Summary:
Total magnetic moment ... 0.0 μB per formula unit
SG ... P1
Final energy ... -52.68 eV/cell
E_form (uncorrected) ... -2.104 eV/atom



A relaxed Pm2IO crystal, computed with PBE.

```
Pm2IO
1.0
1.890 1.091 7.560
-1.890 1.091 7.560
0.000 -2.182 7.560
Pm I O
2 1 1
Direct
0.223 0.223 0.223
0.777 0.777 0.777
0.000 0.000 0.000
0.500 0.500 0.500
```

Summary:
Total magnetic moment ... 0.0 μB per formula unit
SG ... R-3m
Final energy ... -22.78 eV/cell
E_form (uncorrected) ... -1.692 eV/atom



A relaxed PmIO crystal, computed with PBE.

```
PmIO
1.0
3.961 0.000 0.000
-1.980 3.430 0.000
0.000 0.000 5.298
Pm I O
1 1 1
Direct
0.000 0.000 0.000
0.667 0.333 0.500
0.333 0.667 0.000
```

Summary:
Total magnetic moment ... 0.0 μB per formula unit
SG ... P-6m2
Final energy ... -18.54 eV/cell
E_form (uncorrected) ... -2.428 eV/atom



A relaxed Pm3IO7 crystal, computed with PBE.

```
Pm3IO7
1.0
3.958 -5.483 0.000
3.958 5.483 0.000
0.000 0.000 7.793
Pm I O
6 2 14
Direct
0.031 0.500 0.257
0.038 0.038 0.000
0.500 0.031 0.743
0.500 0.969 0.243
0.962 0.962 0.500
0.969 0.500 0.757
0.496 0.496 0.500
0.504 0.504 0.000
0.131 0.869 0.750
0.138 0.862 0.250
0.154 0.412 0.982
0.196 0.439 0.540
0.412 0.154 0.018
0.422 0.578 0.250
0.439 0.196 0.460
0.561 0.804 0.960
0.578 0.422 0.750
0.588 0.846 0.518
0.804 0.561 0.040
0.846 0.588 0.482
0.862 0.138 0.750
0.869 0.131 0.250
```

Summary:
Total magnetic moment ... 0.0 μB per formula unit
SG ... C222_1
Final energy ... -154.97 eV/cell
E_form (uncorrected) ... -2.452 eV/atom



A relaxed Pm2IO2 crystal, computed with PBE.

```
Pm2IO2
1.0
3.932 0.000 0.000
0.000 3.932 0.000
0.000 0.000 6.844
Pm I O
2 1 2
Direct
0.000 0.000 0.201
0.000 0.000 0.799
0.500 0.500 0.500
0.000 0.500 0.000
0.500 0.000 0.000
```

Summary:
Total magnetic moment ... 0.0 μB per formula unit
SG ... P4/mmm
Final energy ... -31.77 eV/cell
Energy relative to the lowest polymorph listed for this composition ... 517 meV/atom
E_form (uncorrected) ... -2.160 eV/atom



A relaxed Pm5I2O12 crystal, computed with PBE.

```
Pm5I2O12
1.0
6.427 -3.211 0.000
6.427 3.211 0.000
-2.263 0.000 7.253
Pm I O
5 2 12
Direct
0.000 0.000 0.000
0.298 0.298 0.136
0.305 0.305 0.673
0.695 0.695 0.327
0.702 0.702 0.864
0.247 0.753 0.500
0.753 0.247 0.500
0.000 0.000 0.313
0.000 0.000 0.687
0.095 0.598 0.926
0.103 0.558 0.413
0.402 0.905 0.074
0.442 0.897 0.587
0.499 0.499 0.696
0.501 0.501 0.304
0.558 0.103 0.413
0.598 0.095 0.926
0.897 0.442 0.587
0.905 0.402 0.074
```

Summary:
Total magnetic moment ... 0.0 μB per formula unit
SG ... C2/m
Final energy ... -129.13 eV/cell
E_form (uncorrected) ... -2.251 eV/atom



A relaxed Pm2I3O crystal, computed with PBE.

```
Pm2I3O
1.0
10.349 -2.083 0.000
10.349 2.083 0.000
-7.634 0.000 10.127
Pm I O
4 6 2
Direct
0.065 0.065 0.462
0.372 0.372 0.232
0.628 0.628 0.768
0.935 0.935 0.538
0.171 0.171 0.006
0.287 0.287 0.379
0.469 0.469 0.759
0.531 0.531 0.241
0.713 0.713 0.621
0.829 0.829 0.994
0.077 0.077 0.661
0.923 0.923 0.339
```

Summary:
Total magnetic moment ... 0.0 μB per formula unit
SG ... C2/m
Final energy ... -61.80 eV/cell
E_form (uncorrected) ... -1.965 eV/atom



A relaxed Pm3I7O crystal, computed with PBE.

```
Pm3I7O
1.0
8.587 0.000 0.000
-4.294 7.437 0.000
0.000 0.000 7.825
Pm I O
3 7 1
Direct
0.037 0.519 0.000
0.481 0.519 0.000
0.481 0.963 0.000
0.161 0.322 0.251
0.161 0.839 0.251
0.333 0.166 0.777
0.667 0.333 0.230
0.678 0.839 0.251
0.834 0.166 0.777
0.834 0.667 0.777
0.333 0.667 0.932
```

Summary:
Total magnetic moment ... 0.0 μB per formula unit
SG ... P3m1
Final energy ... -48.76 eV/cell
E_form (uncorrected) ... -1.700 eV/atom



A relaxed PmIO crystal, computed with PBE.

```
PmIO
1.0
4.112 0.000 0.000
-2.041 5.891 0.000
-0.024 -2.324 7.135
Pm I O
2 2 2
Direct
0.207 0.415 0.302
0.793 0.585 0.698
0.103 0.201 0.824
0.897 0.799 0.176
0.325 0.651 0.599
0.675 0.349 0.401
```

Summary:
Total magnetic moment ... 0.0 μB per formula unit
SG ... P-1
Final energy ... -37.45 eV/cell
E_form (uncorrected) ... -2.489 eV/atom



A relaxed PmIO crystal, computed with PBE.

```
PmIO
1.0
0.000 2.451 6.027
2.445 0.000 6.027
2.445 2.451 0.000
Pm I O
1 1 1
Direct
0.000 0.000 0.000
0.265 0.265 0.735
0.521 0.521 0.479
```

Summary:
Total magnetic moment ... 0.0 μB per formula unit
SG ... Fmm2
Final energy ... -17.22 eV/cell
E_form (uncorrected) ... -1.989 eV/atom



A relaxed Pm4IO10 crystal, computed with PBE.

```
Pm4IO10
1.0
-4.303 4.303 2.790
4.303 -4.303 2.790
4.303 4.303 -2.790
Pm I O
4 1 10
Direct
0.098 0.695 0.793
0.305 0.098 0.403
0.695 0.902 0.597
0.902 0.305 0.207
0.500 0.500 0.000
0.100 0.376 0.920
0.181 0.100 0.724
0.250 0.750 0.500
0.376 0.456 0.276
0.456 0.181 0.080
0.544 0.819 0.920
0.624 0.544 0.724
0.750 0.250 0.500
0.819 0.900 0.276
0.900 0.624 0.080
```

Summary:
Total magnetic moment ... 0.1 μB per formula unit
SG ... I4/m
Final energy ... -103.08 eV/cell
E_form (uncorrected) ... -2.196 eV/atom



A relaxed Pm2IO2 crystal, computed with PBE.

```
Pm2IO2
1.0
-2.091 2.091 6.177
2.091 -2.091 6.177
2.091 2.091 -6.177
Pm I O
2 1 2
Direct
0.164 0.164 0.000
0.836 0.836 0.000
0.500 0.500 0.000
0.250 0.750 0.500
0.750 0.250 0.500
```

Summary:
Total magnetic moment ... 0.0 μB per formula unit
SG ... I4/mmm
Final energy ... -34.35 eV/cell
Energy relative to the lowest polymorph listed for this composition ... 0 meV/atom
E_form (uncorrected) ... -2.677 eV/atom



A relaxed Pm2PrIO4 crystal, computed with PBE.

```
Pm2PrIO4
1.0
4.090 0.000 0.000
0.000 4.090 0.000
0.000 0.000 9.700
Pm Pr I O
2 1 1 4
Direct
0.000 0.000 0.249
0.000 0.000 0.751
0.500 0.500 0.500
0.500 0.500 0.000
0.000 0.500 0.348
0.000 0.500 0.652
0.500 0.000 0.348
0.500 0.000 0.652
```

Summary:
Total magnetic moment ... 0.0 μB per formula unit
SG ... P4/mmm
Final energy ... -60.09 eV/cell
E_form (uncorrected) ... -3.054 eV/atom



A relaxed PmPrIO6 crystal, computed with PBE.

```
PmPrIO6
1.0
5.826 0.000 0.000
-2.913 5.045 0.000
0.000 0.000 9.581
Pm Pr I O
2 2 2 12
Direct
0.000 0.000 0.000
0.000 0.000 0.500
0.333 0.667 0.250
0.667 0.333 0.750
0.333 0.667 0.750
0.667 0.333 0.250
0.050 0.371 0.634
0.050 0.679 0.866
0.321 0.371 0.866
0.321 0.950 0.634
0.371 0.050 0.134
0.371 0.321 0.366
0.629 0.679 0.634
0.629 0.950 0.866
0.679 0.050 0.366
0.679 0.629 0.134
0.950 0.321 0.134
0.950 0.629 0.366
```

Summary:
Total magnetic moment ... 0.0 μB per formula unit
SG ... P-31c
Final energy ... -116.42 eV/cell
E_form (uncorrected) ... -1.931 eV/atom



A relaxed PmPr2IO8 crystal, computed with PBE.

```
PmPr2IO8
1.0
5.214 0.000 0.000
0.000 7.093 0.000
-0.056 0.000 5.217
Pm Pr I O
1 2 1 8
Direct
0.000 0.000 0.000
0.500 0.253 0.500
0.500 0.747 0.500
0.000 0.500 0.000
0.174 0.299 0.824
0.174 0.701 0.824
0.259 0.500 0.257
0.309 0.000 0.307
0.691 0.000 0.693
0.741 0.500 0.743
0.826 0.299 0.176
0.826 0.701 0.176
```

Summary:
Total magnetic moment ... 0.0 μB per formula unit
SG ... P2/m
Final energy ... -82.08 eV/cell
E_form (uncorrected) ... -2.213 eV/atom



A relaxed RbPmIO6 crystal, computed with PBE.

```
RbPmIO6
1.0
5.893 0.000 0.000
-2.946 5.103 0.000
0.000 0.000 11.850
Rb Pm I O
2 2 2 12
Direct
0.000 0.000 0.000
0.000 0.000 0.500
0.333 0.667 0.250
0.667 0.333 0.750
0.333 0.667 0.750
0.667 0.333 0.250
0.058 0.415 0.658
0.058 0.643 0.842
0.357 0.415 0.842
0.357 0.942 0.658
0.415 0.058 0.158
0.415 0.357 0.342
0.585 0.643 0.658
0.585 0.942 0.842
0.643 0.058 0.342
0.643 0.585 0.158
0.942 0.357 0.158
0.942 0.585 0.342
```

Summary:
Total magnetic moment ... 1.1 μB per formula unit
SG ... P-31c
Final energy ... -98.37 eV/cell
E_form (uncorrected) ... -1.352 eV/atom



A relaxed Rb2PmIO6 crystal, computed with PBE.

```
Rb2PmIO6
1.0
3.162 1.826 10.157
-3.162 1.826 10.157
0.000 -3.651 10.157
Rb Pm I O
4 2 2 12
Direct
0.133 0.133 0.133
0.266 0.266 0.266
0.734 0.734 0.734
0.867 0.867 0.867
0.399 0.399 0.399
0.601 0.601 0.601
0.000 0.000 0.000
0.500 0.500 0.500
0.179 0.179 0.750
0.179 0.750 0.179
0.184 0.600 0.600
0.250 0.821 0.821
0.400 0.400 0.816
0.400 0.816 0.400
0.600 0.184 0.600
0.600 0.600 0.184
0.750 0.179 0.179
0.816 0.400 0.400
0.821 0.250 0.821
0.821 0.821 0.250
```

Summary:
Total magnetic moment ... 0.0 μB per formula unit
SG ... R-3m
Final energy ... -108.02 eV/cell
E_form (uncorrected) ... -1.603 eV/atom



A relaxed PmReIO4 crystal, computed with PBE.

```
PmReIO4
1.0
5.612 -3.595 0.000
5.612 3.595 0.000
-1.766 0.000 7.019
Pm Re I O
2 2 2 8
Direct
0.240 0.240 0.119
0.760 0.760 0.881
0.370 0.370 0.725
0.630 0.630 0.275
0.013 0.013 0.750
0.987 0.987 0.250
0.128 0.482 0.861
0.300 0.300 0.479
0.469 0.469 0.210
0.482 0.128 0.861
0.518 0.872 0.139
0.531 0.531 0.790
0.700 0.700 0.521
0.872 0.518 0.139
```

Summary:
Total magnetic moment ... 1.0 μB per formula unit
SG ... C2/m
Final energy ... -104.46 eV/cell
E_form (uncorrected) ... -1.950 eV/atom